Entry 1:
# LaBe3Pt (PBE, optimized geometry)
# Energy above the most stable polymorph in this dataset = 0.0 meV per atom
# SG = P-1, No. 2
# Formation energy from the elements = -491 meV/atom
# Crystal system = triclinic
data_LaBe3Pt
_cell_length_a 6.702
_cell_length_b 6.044
_cell_length_c 4.151
_cell_angle_alpha 70.07
_cell_angle_beta 90.07
_cell_angle_gamma 91.97
_space_group_name_H-M_alt 'P 1'
_space_group_IT_number 1
loop_
_space_group_symop_operation_xyz
'x,y,z'
loop_
_atom_site_label
_atom_site_type_symbol
_atom_site_fract_x
_atom_site_fract_y
_atom_site_fract_z
Be1 Be 0.950 0.972 0.720
Be2 Be 0.679 0.824 0.037
Be3 Be 0.951 0.971 0.207
Be4 Be 0.953 0.610 0.143
Be5 Be 0.948 0.333 0.784
Be6 Be 0.222 0.120 0.890
Pt1 Pt 0.766 0.669 0.614
Pt2 Pt 0.135 0.275 0.313
La1 La 0.302 0.695 0.602
La2 La 0.599 0.248 0.325

Entry 2:
# Y4BeTe (PBE, optimized geometry)
# SG = F-43m, No. 216
# Formation energy (no corrections) = 0.50 eV/atom
# Crystal system = cubic
data_Y4BeTe
_cell_length_a 6.267
_cell_length_b 6.267
_cell_length_c 6.267
_cell_angle_alpha 60.00
_cell_angle_beta 60.00
_cell_angle_gamma 60.00
_space_group_name_H-M_alt 'P 1'
_space_group_IT_number 1
loop_
_space_group_symop_operation_xyz
'x,y,z'
loop_
_atom_site_label
_atom_site_type_symbol
_atom_site_fract_x
_atom_site_fract_y
_atom_site_fract_z
Y1 Y 0.873 0.376 0.376
Y2 Y 0.376 0.376 0.873
Y3 Y 0.376 0.873 0.376
Y4 Y 0.376 0.376 0.376
Be1 Be 0.750 0.750 0.750
Te1 Te 0.000 0.000 0.000

Entry 3:
# CaYNi2P2 (PBE, optimized geometry)
# SG = P-3m1, No. 164
# Formation energy from the elements = -1088 meV/atom
# Crystal system = trigonal
data_CaYNi2P2
_cell_length_a 3.888
_cell_length_b 3.888
_cell_length_c 8.022
_cell_angle_alpha 90.00
_cell_angle_beta 90.00
_cell_angle_gamma 120.00
_space_group_name_H-M_alt 'P 1'
_space_group_IT_number 1
loop_
_space_group_symop_operation_xyz
'x,y,z'
loop_
_atom_site_label
_atom_site_type_symbol
_atom_site_fract_x
_atom_site_fract_y
_atom_site_fract_z
Ca1 Ca 0.000 0.000 0.000
Y1 Y 0.000 0.000 0.500
Ni1 Ni 0.333 0.667 0.740
Ni2 Ni 0.667 0.333 0.260
P1 P 0.333 0.667 0.258
P2 P 0.667 0.333 0.742

Entry 4:
# PmErPaO6 (PBE, optimized geometry)
# SG = P312, No. 149
# Formation energy (no corrections) = -3.18 eV/atom
# Crystal system = trigonal
data_PmErPaO6
_cell_length_a 4.684
_cell_length_b 5.849
_cell_length_c 5.849
_cell_angle_alpha 120.00
_cell_angle_beta 90.00
_cell_angle_gamma 90.00
_space_group_name_H-M_alt 'P 1'
_space_group_IT_number 1
loop_
_space_group_symop_operation_xyz
'x,y,z'
loop_
_atom_site_label
_atom_site_type_symbol
_atom_site_fract_x
_atom_site_fract_y
_atom_site_fract_z
Pm1 Pm 0.500 0.667 0.333
Er1 Er 0.500 0.000 0.000
Pa1 Pa 0.000 0.333 0.667
O1 O 0.746 0.656 0.679
O2 O 0.746 0.321 0.977
O3 O 0.746 0.023 0.344
O4 O 0.254 0.321 0.344
O5 O 0.254 0.656 0.977
O6 O 0.254 0.023 0.679

Entry 5:
# Pr5N4 (PBE, optimized geometry)
# Energy above the most stable polymorph in this dataset = 710.5 meV per atom
# SG = I4/mmm, No. 139
# Formation energy (no corrections) = -0.21 eV/atom
# Crystal system = tetragonal
data_Pr5N4
_cell_length_a 3.249
_cell_length_b 7.937
_cell_length_c 7.937
_cell_angle_alpha 87.60
_cell_angle_beta 78.19
_cell_angle_gamma 78.19
_space_group_name_H-M_alt 'P 1'
_space_group_IT_number 1
loop_
_space_group_symop_operation_xyz
'x,y,z'
loop_
_atom_site_label
_atom_site_type_symbol
_atom_site_fract_x
_atom_site_fract_y
_atom_site_fract_z
Pr1 Pr 0.742 0.258 0.258
Pr2 Pr 0.258 0.742 0.742
Pr3 Pr 0.000 0.000 0.000
Pr4 Pr 0.000 0.742 0.258
Pr5 Pr 0.000 0.258 0.742
N1 N 0.638 0.000 0.725
N2 N 0.362 0.275 0.000
N3 N 0.362 0.000 0.275
N4 N 0.638 0.725 0.000

Entry 6:
# SrAc2Ag (PBE, optimized geometry)
# Energy above the most stable polymorph in this dataset = 222.8 meV per atom
# SG = R-3m, No. 166
# Formation energy from the elements = 141 meV/atom
# Crystal system = trigonal
data_SrAc2Ag
_cell_length_a 3.976
_cell_length_b 3.976
_cell_length_c 12.703
_cell_angle_alpha 81.00
_cell_angle_beta 81.00
_cell_angle_gamma 60.00
_space_group_name_H-M_alt 'P 1'
_space_group_IT_number 1
loop_
_space_group_symop_operation_xyz
'x,y,z'
loop_
_atom_site_label
_atom_site_type_symbol
_atom_site_fract_x
_atom_site_fract_y
_atom_site_fract_z
Sr1 Sr 0.000 0.000 0.000
Ac1 Ac 0.104 0.104 0.688
Ac2 Ac 0.896 0.896 0.312
Ag1 Ag 0.500 0.500 0.500

Entry 7:
# NaCa3Pu2Te6 (PBE, optimized geometry)
# SG = C2/m, No. 12
# Formation energy (no corrections) = -1.34 eV/atom
# Crystal system = monoclinic
data_NaCa3Pu2Te6
_cell_length_a 7.830
_cell_length_b 7.830
_cell_length_c 7.820
_cell_angle_alpha 99.63
_cell_angle_beta 99.63
_cell_angle_gamma 119.96
_space_group_name_H-M_alt 'P 1'
_space_group_IT_number 1
loop_
_space_group_symop_operation_xyz
'x,y,z'
loop_
_atom_site_label
_atom_site_type_symbol
_atom_site_fract_x
_atom_site_fract_y
_atom_site_fract_z
Na1 Na 0.000 0.000 0.000
Ca1 Ca 0.165 0.835 0.500
Ca2 Ca 0.835 0.165 0.500
Ca3 Ca 0.500 0.500 0.500
Pu1 Pu 0.333 0.667 0.000
Pu2 Pu 0.667 0.333 0.000
Te1 Te 0.916 0.576 0.750
Te2 Te 0.743 0.743 0.251
Te3 Te 0.084 0.424 0.250
Te4 Te 0.576 0.916 0.750
Te5 Te 0.257 0.257 0.749
Te6 Te 0.424 0.084 0.250

Entry 8:
# Tb2Pm6YTm3 (PBE, optimized geometry)
# SG = C2/m, No. 12
# Formation energy from the elements = 14 meV/atom
# Crystal system = monoclinic
data_Tb2Pm6YTm3
_cell_length_a 6.232
_cell_length_b 6.232
_cell_length_c 11.792
_cell_angle_alpha 95.03
_cell_angle_beta 95.03
_cell_angle_gamma 119.99
_space_group_name_H-M_alt 'P 1'
_space_group_IT_number 1
loop_
_space_group_symop_operation_xyz
'x,y,z'
loop_
_atom_site_label
_atom_site_type_symbol
_atom_site_fract_x
_atom_site_fract_y
_atom_site_fract_z
Tb1 Tb 0.333 0.667 0.000
Tb2 Tb 0.667 0.333 0.000
Pm1 Pm 0.915 0.581 0.748
Pm2 Pm 0.751 0.751 0.252
Pm3 Pm 0.085 0.419 0.252
Pm4 Pm 0.581 0.915 0.748
Pm5 Pm 0.249 0.249 0.748
Pm6 Pm 0.419 0.085 0.252
Y1 Y 0.000 0.000 0.000
Tm1 Tm 0.167 0.833 0.500
Tm2 Tm 0.833 0.167 0.500
Tm3 Tm 0.500 0.500 0.500

Entry 9:
# RbPbI2O (PBE, optimized geometry)
# Energy above the most stable polymorph in this dataset = 0.0 meV per atom
# SG = P4/mmm, No. 123
# Formation energy (no corrections) = -0.82 eV/atom
# Crystal system = tetragonal
data_RbPbI2O
_cell_length_a 6.170
_cell_length_b 6.170
_cell_length_c 4.267
_cell_angle_alpha 90.00
_cell_angle_beta 90.00
_cell_angle_gamma 90.00
_space_group_name_H-M_alt 'P 1'
_space_group_IT_number 1
loop_
_space_group_symop_operation_xyz
'x,y,z'
loop_
_atom_site_label
_atom_site_type_symbol
_atom_site_fract_x
_atom_site_fract_y
_atom_site_fract_z
Pb1 Pb 0.000 0.000 0.000
I1 I 0.000 0.500 0.000
I2 I 0.500 0.000 0.000
O1 O 0.000 0.000 0.500
Rb1 Rb 0.500 0.500 0.500

Entry 10:
# ScZnSN2 (PBE, optimized geometry)
# Energy above the most stable polymorph in this dataset = 38.8 meV per atom
# SG = P4/mmm, No. 123
# Formation energy (no corrections) = 0.63 eV/atom
# Crystal system = tetragonal
data_ScZnSN2
_cell_length_a 4.017
_cell_length_b 4.017
_cell_length_c 5.392
_cell_angle_alpha 90.00
_cell_angle_beta 90.00
_cell_angle_gamma 90.00
_space_group_name_H-M_alt 'P 1'
_space_group_IT_number 1
loop_
_space_group_symop_operation_xyz
'x,y,z'
loop_
_atom_site_label
_atom_site_type_symbol
_atom_site_fract_x
_atom_site_fract_y
_atom_site_fract_z
Sc1 Sc 0.000 0.000 0.000
Zn1 Zn 0.500 0.500 0.500
S1 S 0.000 0.000 0.500
N1 N 0.000 0.500 0.000
N2 N 0.500 0.000 0.000

Entry 11:
# Pm2BeIr2 (PBE, optimized geometry)
# SG = C2/c, No. 15
# Formation energy from the elements = -627 meV/atom
# Crystal system = monoclinic
data_Pm2BeIr2
_cell_length_a 5.789
_cell_length_b 5.789
_cell_length_c 7.315
_cell_angle_alpha 79.43
_cell_angle_beta 79.43
_cell_angle_gamma 57.49
_space_group_name_H-M_alt 'P 1'
_space_group_IT_number 1
loop_
_space_group_symop_operation_xyz
'x,y,z'
loop_
_atom_site_label
_atom_site_type_symbol
_atom_site_fract_x
_atom_site_fract_y
_atom_site_fract_z
Pm1 Pm 0.483 0.220 0.149
Pm2 Pm 0.780 0.517 0.351
Pm3 Pm 0.517 0.780 0.851
Pm4 Pm 0.220 0.483 0.649
Be1 Be 0.086 0.914 0.250
Be2 Be 0.914 0.086 0.750
Ir1 Ir 0.746 0.001 0.511
Ir2 Ir 0.999 0.254 0.989
Ir3 Ir 0.254 0.999 0.489
Ir4 Ir 0.001 0.746 0.011

Entry 12:
# CeTlCu (PBE, optimized geometry)
# SG = F-43m, No. 216
# Formation energy from the elements = -156 meV/atom
# Crystal system = cubic
data_CeTlCu
_cell_length_a 4.706
_cell_length_b 4.706
_cell_length_c 4.706
_cell_angle_alpha 60.00
_cell_angle_beta 60.00
_cell_angle_gamma 60.00
_space_group_name_H-M_alt 'P 1'
_space_group_IT_number 1
loop_
_space_group_symop_operation_xyz
'x,y,z'
loop_
_atom_site_label
_atom_site_type_symbol
_atom_site_fract_x
_atom_site_fract_y
_atom_site_fract_z
Tl1 Tl 0.500 0.500 0.500
Cu1 Cu 0.250 0.250 0.250
Ce1 Ce 0.000 0.000 0.000

Across the entries above, magnetic moment takes the values 0.00 0.00 0.00 0.68 0.00 0.00 11.00 0.00 0.00 0.97 0.00 0.19 μB/cell, respectively.
Across the entries above, total energy takes the values -49.20 -29.72 -37.38 -77.19 -59.12 -12.19 -70.90 -57.48 -16.82 -25.26 -68.17 -12.86 eV for the cell shown, respectively.